This record from Alexandria via LeMat-Bulk describes an optimized crystal structure of Ba6Na2InRh. The functional is PBE.

Computed properties:
Fermi-level density of states: 9.50 states/eV/f.u.
Formation enthalpy at 0 K: -0.93 eV per formula unit

Lattice parameters (Å, degrees): 9.2102 9.2104 9.2188 120.03 120.03 90.02
Atoms (fractional coordinates):
Ba  0.7629  0.7636  0.9989
Ba  0.7633  0.7637  0.5269
Ba  0.2368  0.2371  0.0005
Ba  0.7634  0.2369  0.9996
Ba  0.2365  0.2371  0.4726
Ba  0.2362  0.7638  0.9997
Na  0.7499  0.2504  0.5001
Na  0.2500  0.7503  0.5001
In  0.4999  0.5005  0.9998
Rh  0.9999  0.0004  0.9999